This record from Alexandria via LeMat-Bulk describes Li3Mn4VO8 after structural relaxation. The functional is GGA+U.

Lattice parameters (Å, degrees): 6.1692 6.1692 6.0202 61.06 61.06 58.22
Element x y z (fractional)
V  0.5000  0.5000  0.0000
Mn  0.5000  0.5000  0.5000
Mn  0.5000  0.0000  0.5000
O  0.7467  0.2626  0.2381
O  0.7316  0.7316  0.7492
O  0.2533  0.7374  0.7619
O  0.2486  0.2486  0.7309
Li  0.0000  0.5000  0.0000
O  0.2684  0.2684  0.2508
Mn  0.0000  0.0000  0.0000
O  0.7514  0.7514  0.2691
Li  0.5000  0.0000  0.0000
Mn  0.0000  0.5000  0.5000
O  0.7374  0.2533  0.7619
Li  0.0000  0.0000  0.5000
O  0.2626  0.7467  0.2381

Calculated total energy (eV/cell): -111.69
Spin magnetization (μB/f.u.): 20.000
Symmetry: No. 12